Record 1
Entry from the Alexandria database: a relaxed Ag2OsRh crystal (GGA-PBE).

Cell lengths 2.7675, 4.7107, 9.8325 Å; angles 90.00, 90.00, 90.00 degrees
Last column: nearest neighbours and their distance in Å.
Space group Cmmm (No. 65)
Inequivalent atoms, fractional coordinates:
Ag (0.0000, 0.0000, 0.2466) [4 per cell]  6 Ag 2.73-2.77, 2 Rh 2.79, 2 Os 2.85
Os (0.0000, 0.5000, 0.5000) [2 per cell]  6 Os 2.73-2.77, 4 Ag 2.85
Rh (0.0000, 0.5000, 0.0000) [2 per cell]  6 Rh 2.73-2.77, 4 Ag 2.79

ΔE to the lowest computed polymorph (meV per atom): 292
D(E_F) (states/eV/cell): 10.70

***

Record 2
Entry from the Alexandria database: a relaxed Co2PbBr crystal (GGA-PBE).

Cell lengths 3.2287, 3.2287, 6.6662 Å; angles 90.00, 90.00, 90.00 degrees
Last column: nearest neighbours and their distance in Å.
Space group P4/mmm (No. 123)
Inequivalent atoms, fractional coordinates:
Co (0.0000, 0.0000, 0.2267) [2 per cell]  4 Br 2.74, 4 Pb 2.92, 1 Co 3.02
Pb (0.5000, 0.5000, 0.5000) [1 per cell]  8 Co 2.92, 4 Pb 3.23
Br (0.5000, 0.5000, 0.0000) [1 per cell]  8 Co 2.74

Uncorrected formation energy (meV/atom): 695
ΔE to the lowest computed polymorph (meV per atom): 428
D(E_F) (states/eV/cell): 3.44

***

Record 3
Entry from the Alexandria database: a relaxed Sc8P3S3O crystal (GGA-PBE).

Cell lengths 7.2958, 7.2958, 17.9608 Å; angles 90.00, 90.00, 120.00 degrees
Last column: nearest neighbours and their distance in Å.
Space group R-3m (No. 166, hexagonal axes)
Inequivalent atoms, fractional coordinates:
Sc (0.0000, 0.0000, 0.2472) [6 per cell]  3 P 2.56, 3 S 2.61
Sc (0.0250, 0.5125, 0.2420) [18 per cell]  1 O 2.37, 2 P 2.57, 2 S 2.61
P (0.0000, 0.5000, 0.5000) [9 per cell]  6 Sc 2.56-2.57
S (0.0000, 0.5000, 0.0000) [9 per cell]  6 Sc 2.61
O (0.0000, 0.0000, 0.5000) [3 per cell]  6 Sc 2.37

Uncorrected formation energy (meV/atom): -1711
D(E_F) (states/eV/cell): 18.44

***

Record 4
Entry from the Alexandria database: a relaxed LaMg6Bi crystal (GGA-PBE).

Cell lengths 5.3311, 6.5027, 12.1906 Å; angles 90.00, 90.00, 90.00 degrees
Last column: nearest neighbours and their distance in Å.
Space group Amm2 (No. 38)
Inequivalent atoms, fractional coordinates:
La (0.0000, 0.0000, 0.0000) [2 per cell]  2 Bi 3.25, 10 Mg 3.36-3.50
Mg (0.0000, 0.2494, 0.2462) [4 per cell]  8 Mg 3.21-3.32, 2 Bi 3.40-3.51, 2 La 3.41-3.50
Mg (0.5000, 0.0000, 0.1671) [2 per cell]  8 Mg 3.21-3.27, 2 La 3.36
Mg (0.5000, 0.0000, 0.6542) [2 per cell]  10 Mg 3.26-3.59, 2 Bi 3.32
Mg (0.5000, 0.2459, 0.8929) [4 per cell]  6 Mg 3.20-3.32, 2 Bi 3.36, 2 La 3.37
Bi (0.0000, 0.0000, 0.4915) [2 per cell]  2 La 3.25, 10 Mg 3.32-3.51

ΔE to the lowest computed polymorph (meV per atom): 2
D(E_F) (states/eV/cell): 9.85

***

Record 5
Entry from the Alexandria database: a relaxed CeY2Tm3 crystal (GGA-PBE).

Cell lengths 9.4558, 12.9515, 6.2472 Å; angles 90.00, 90.00, 90.00 degrees
Last column: nearest neighbours and their distance in Å.
Space group Cmc2_1 (No. 36)
Inequivalent atoms, fractional coordinates:
Ce (0.0000, 0.0780, 0.0000) [4 per cell]  3 Tm 3.22-3.53, 2 Y 3.34
Y (0.1808, 0.4343, 0.7273) [8 per cell]  1 Ce 3.34, 4 Tm 3.35-3.70, 3 Y 3.42-3.56
Tm (0.0000, 0.1760, 0.5266) [4 per cell]  4 Tm 3.16-3.23, 3 Ce 3.22-3.53
Tm (0.1785, 0.3071, 0.1968) [8 per cell]  3 Tm 3.16-3.38, 3 Y 3.35-3.40

ΔE to the lowest computed polymorph (meV per atom): 140
D(E_F) (states/eV/cell): 52.03

***

Record 6
Entry from the Alexandria database: a relaxed ScHRh2 crystal (GGA-PBE).

Cell lengths 5.5790, 5.5790, 6.9915 Å; angles 90.00, 90.00, 90.00 degrees
Last column: nearest neighbours and their distance in Å.
Space group I-42d (No. 122)
Inequivalent atoms, fractional coordinates:
Sc (0.0000, 0.0000, 0.0000) [4 per cell]  8 Rh 2.76-3.03
H (0.0000, 0.0000, 0.5000) [4 per cell]  4 Rh 1.74
Rh (0.1038, 0.2500, 0.6250) [8 per cell]  2 H 1.74

ΔE to the lowest computed polymorph (meV per atom): 0
D(E_F) (states/eV/cell): 7.81

***

Record 7
Entry from the Alexandria database: a relaxed Ca2TbUAs4 crystal (GGA-PBE).

Cell lengths 7.2040, 4.1922, 7.2454 Å; angles 90.00, 109.21, 90.00 degrees
Last column: nearest neighbours and their distance in Å.
Space group P2/m (No. 10)
Inequivalent atoms, fractional coordinates:
Ca (0.0000, 0.0000, 0.0000) [1 per cell]  6 As 3.07-3.08
Ca (0.5000, 0.5000, 0.0000) [1 per cell]  6 As 2.98-3.00
Tb (0.0000, 0.5000, 0.5000) [1 per cell]  6 As 2.91-2.93
U (0.5000, 0.0000, 0.5000) [1 per cell]  6 As 2.81-2.86
As (0.2555, 0.0000, 0.7321) [2 per cell]  1 U 2.81, 2 Tb 2.93, 3 Ca 3.00-3.08
As (0.2647, 0.5000, 0.2706) [2 per cell]  2 U 2.86, 1 Tb 2.91, 3 Ca 2.98-3.07

D(E_F) (states/eV/cell): 5.01

***

Record 8
Entry from the Alexandria database: a relaxed VCrRe2 crystal (GGA-PBE).

Cell lengths 4.2652, 4.2652, 3.0127 Å; angles 90.00, 90.00, 90.00 degrees
Last column: nearest neighbours and their distance in Å.
Space group P4/mmm (No. 123)
Inequivalent atoms, fractional coordinates:
V (0.0000, 0.0000, 0.0000) [1 per cell]  8 Re 2.61
Cr (0.5000, 0.5000, 0.0000) [1 per cell]  8 Re 2.61
Re (0.0000, 0.5000, 0.5000) [2 per cell]  4 Cr 2.61, 4 V 2.61

D(E_F) (states/eV/cell): 3.83

***

Record 9
Entry from the Alexandria database: a relaxed CaBiAu crystal (GGA-PBE).

Cell lengths 4.8429, 4.8429, 25.1254 Å; angles 90.00, 90.00, 120.00 degrees
Last column: nearest neighbours and their distance in Å.
Space group R3m (No. 160, hexagonal axes)
Inequivalent atoms, fractional coordinates:
Ca (0.0000, 0.0000, 0.0000) [3 per cell]  3 Au 3.14, 3 Bi 3.40
Ca (0.0000, 0.0000, 0.1600) [3 per cell]  4 Au 2.93-3.05
Bi (0.0000, 0.0000, 0.5783) [3 per cell]  3 Au 2.91
Bi (0.0000, 0.0000, 0.7438) [3 per cell]  3 Au 2.92
Au (0.0000, 0.0000, 0.2765) [3 per cell]  3 Bi 2.91, 4 Ca 2.93-3.14
Au (0.0000, 0.0000, 0.4446) [3 per cell]  3 Bi 2.92, 3 Ca 3.05

D(E_F) (states/eV/cell): 2.78

***

Record 10
Entry from the Alexandria database: a relaxed Rb2Cd2Ge crystal (GGA-PBE).

Cell lengths 4.1314, 4.1314, 22.7469 Å; angles 90.00, 90.00, 90.00 degrees
Last column: nearest neighbours and their distance in Å.
Space group I4/mmm (No. 139)
Inequivalent atoms, fractional coordinates:
Rb (0.0000, 0.0000, 0.0968) [4 per cell]  4 Ge 3.66, 4 Cd 4.05
Cd (0.0000, 0.5000, 0.2500) [4 per cell]  4 Cd 2.92
Ge (0.0000, 0.0000, 0.5000) [2 per cell]  8 Rb 3.66

ΔE to the lowest computed polymorph (meV per atom): 220
D(E_F) (states/eV/cell): 6.14

***

Record 11
Entry from the Alexandria database: a relaxed VCo3Cu crystal (GGA-PBE).

Cell lengths 4.1697, 4.1697, 4.1697 Å; angles 90.00, 90.00, 90.00 degrees
Last column: nearest neighbours and their distance in Å.
Space group Pm-3m (No. 221)
Inequivalent atoms, fractional coordinates:
V (0.0000, 0.0000, 0.0000) [1 per cell]  6 Co 2.08
Co (0.0000, 0.0000, 0.5000) [3 per cell]  2 V 2.08
Cu (0.5000, 0.5000, 0.5000) [1 per cell]  12 Co 2.95

ΔE to the lowest computed polymorph (meV per atom): 0
D(E_F) (states/eV/cell): 7.63

***

Record 12
Entry from the Alexandria database: a relaxed CsCd2NiAg crystal (GGA-PBE).

Cell lengths 5.1906, 5.1906, 5.2934 Å; angles 90.00, 90.00, 90.00 degrees
Last column: nearest neighbours and their distance in Å.
Space group P4/mmm (No. 123)
Inequivalent atoms, fractional coordinates:
Cs (0.0000, 0.0000, 0.0000) [1 per cell]  4 Ag 3.67, 8 Cd 3.71
Cd (0.0000, 0.5000, 0.5000) [2 per cell]  2 Ni 2.60
Ni (0.5000, 0.5000, 0.5000) [1 per cell]  4 Cd 2.60, 2 Ag 2.65
Ag (0.5000, 0.5000, 0.0000) [1 per cell]  2 Ni 2.65

D(E_F) (states/eV/cell): 1.78

***

| no. | energy (eV/atom) |
| --- | --- |
| 1 | -5.5152 |
| 2 | -4.2037 |
| 3 | -7.3259 |
| 4 | -2.4039 |
| 5 | -5.1140 |
| 6 | -6.5056 |
| 7 | -5.9713 |
| 8 | -11.0545 |
| 9 | -3.6827 |
| 10 | -1.4909 |
| 11 | -5.7394 |
| 12 | -2.1163 |